No. 1
Here is a relaxed structure of Dy2IrRh from Alexandria. Energies are from PBEsol.

Cell and atoms, written as CIF:
```
data_Dy2IrRh
_symmetry_space_group_name_H-M 'P 1'
_symmetry_Int_Tables_number 1
_symmetry_space_group_name_Hall 'P 1'
_cell_length_a 4.7672
_cell_length_b 4.7672
_cell_length_c 4.7672
_cell_angle_alpha 60.00
_cell_angle_beta 60.00
_cell_angle_gamma 60.00
loop_
_atom_site_label
_atom_site_type_symbol
_atom_site_fract_x
_atom_site_fract_y
_atom_site_fract_z
Rh1 Rh 0.0000 0.0000 0.0000
Ir1 Ir 0.5000 0.5000 0.5000
Dy1 Dy 0.2500 0.2500 0.2500
Dy2 Dy 0.7500 0.7500 0.7500
```

D(E_F) = 1.73 states/eV/cell
formation energy = -0.83 eV per atom
theoretical density = 13.441 g cm⁻³
magnetization = 0.00 μB per formula unit
E = -7.814 eV/atom
calculated volume = 76.6 Å³/cell
symmetry = Fm-3m (225)

No. 2
Here is a relaxed structure of CoCuCl2 from Alexandria. Energies are from PBEsol.

Cell and atoms, written as CIF:
```
data_CoCuCl2
_symmetry_space_group_name_H-M 'P 1'
_symmetry_Int_Tables_number 1
_symmetry_space_group_name_Hall 'P 1'
_cell_length_a 3.3340
_cell_length_b 3.3340
_cell_length_c 6.4963
_cell_angle_alpha 75.13
_cell_angle_beta 75.13
_cell_angle_gamma 60.00
loop_
_atom_site_label
_atom_site_type_symbol
_atom_site_fract_x
_atom_site_fract_y
_atom_site_fract_z
Cl1 Cl 0.7464 0.7464 0.7609
Cl2 Cl 0.2536 0.2536 0.2391
Co1 Co 0.0000 0.0000 0.0000
Cu1 Cu 0.5000 0.5000 0.5000
```

D(E_F) = 2.24 states/eV/cell
theoretical density = 5.377 g cm⁻³
magnetization = 2.00 μB per formula unit
E = -3.979 eV/atom
calculated volume = 59.7 Å³/cell
ΔE to the lowest computed polymorph = 0.000 eV per formula unit
symmetry = R-3m (166)
ΔE_f (raw) = 0.043 eV per atom

No. 3
Here is a relaxed structure of YSbAs2 from Alexandria. Energies are from PBEsol.

Cell and atoms, written as CIF:
```
data_YSbAs2
_symmetry_space_group_name_H-M 'P 1'
_symmetry_Int_Tables_number 1
_symmetry_space_group_name_Hall 'P 1'
_cell_length_a 3.8626
_cell_length_b 3.9502
_cell_length_c 6.4097
_cell_angle_alpha 109.49
_cell_angle_beta 90.00
_cell_angle_gamma 90.00
loop_
_atom_site_label
_atom_site_type_symbol
_atom_site_fract_x
_atom_site_fract_y
_atom_site_fract_z
As1 As 0.0000 0.1555 0.2117
As2 As 0.0000 0.8445 0.7883
Sb1 Sb 0.5000 0.0000 0.5000
Y1 Y 0.5000 0.5000 0.0000
```

D(E_F) = 1.63 states/eV/cell
theoretical density = 6.493 g cm⁻³
magnetization = 0.00 μB per formula unit
E = -5.975 eV/atom
calculated volume = 92.2 Å³/cell
symmetry = P2/m (10)
ΔE_f (raw) = -0.577 eV per atom

No. 4
Here is a relaxed structure of TePW2 from Alexandria. Energies are from PBEsol.

Cell and atoms, written as CIF:
```
data_TePW2
_symmetry_space_group_name_H-M 'P 1'
_symmetry_Int_Tables_number 1
_symmetry_space_group_name_Hall 'P 1'
_cell_length_a 3.1872
_cell_length_b 4.1579
_cell_length_c 5.8656
_cell_angle_alpha 101.91
_cell_angle_beta 90.00
_cell_angle_gamma 112.54
loop_
_atom_site_label
_atom_site_type_symbol
_atom_site_fract_x
_atom_site_fract_y
_atom_site_fract_z
W1 W 0.2383 0.4765 0.1791
W2 W 0.7617 0.5235 0.8209
Te1 Te 0.0000 0.0000 0.5000
P1 P 0.5000 0.0000 0.0000
```

D(E_F) = 3.20 states/eV/cell
theoretical density = 12.487 g cm⁻³
magnetization = 0.00 μB per formula unit
E = -8.916 eV/atom
calculated volume = 70.0 Å³/cell
ΔE to the lowest computed polymorph = 0.332 eV per formula unit
symmetry = C2/m (12)
ΔE_f (raw) = 0.317 eV per atom

No. 5
Here is a relaxed structure of Ta2AlCdBi from Alexandria. Energies are from PBEsol.

Cell and atoms, written as CIF:
```
data_Ta2AlCdBi
_symmetry_space_group_name_H-M 'P 1'
_symmetry_Int_Tables_number 1
_symmetry_space_group_name_Hall 'P 1'
_cell_length_a 5.0296
_cell_length_b 5.0296
_cell_length_c 5.3412
_cell_angle_alpha 90.00
_cell_angle_beta 90.00
_cell_angle_gamma 90.00
loop_
_atom_site_label
_atom_site_type_symbol
_atom_site_fract_x
_atom_site_fract_y
_atom_site_fract_z
Al1 Al 0.5000 0.5000 0.5000
Bi1 Bi 0.0000 0.0000 0.5000
Ta1 Ta 0.5000 0.0000 0.0000
Ta2 Ta 0.0000 0.5000 0.0000
Cd1 Cd 0.0000 0.0000 0.0000
```

D(E_F) = 6.50 states/eV/cell
formation energy = 2.04 eV per atom
theoretical density = 8.729 g cm⁻³
magnetization = 0.86 μB per formula unit
E = -4.899 eV/atom
calculated volume = 135.1 Å³/cell
symmetry = P4/mmm (123)

No. 6
Here is a relaxed structure of BaMnAl3 from Alexandria. Energies are from PBEsol.

Cell and atoms, written as CIF:
```
data_BaMnAl3
_symmetry_space_group_name_H-M 'P 1'
_symmetry_Int_Tables_number 1
_symmetry_space_group_name_Hall 'P 1'
_cell_length_a 4.7234
_cell_length_b 4.7234
_cell_length_c 4.7234
_cell_angle_alpha 90.00
_cell_angle_beta 90.00
_cell_angle_gamma 90.00
loop_
_atom_site_label
_atom_site_type_symbol
_atom_site_fract_x
_atom_site_fract_y
_atom_site_fract_z
Al1 Al 0.0000 0.5000 0.0000
Al2 Al 0.5000 0.0000 0.0000
Al3 Al 0.0000 0.0000 0.5000
Mn1 Mn 0.0000 0.0000 0.0000
Ba1 Ba 0.5000 0.5000 0.5000
```

D(E_F) = 1.60 states/eV/cell
formation energy = -0.16 eV per atom
theoretical density = 4.305 g cm⁻³
magnetization = 0.00 μB per formula unit
E = -5.002 eV/atom
calculated volume = 105.4 Å³/cell
symmetry = Pm-3m (221)